1.
# SmGdCF2 PBE optimized geometry
# Final energy: -6.82 eV/atom
data_SmGdCF2
_cell_length_a 3.7065
_cell_length_b 3.7065
_cell_length_c 6.4409
_cell_angle_alpha 90.00
_cell_angle_beta 90.00
_cell_angle_gamma 120.00
_space_group_name_H-M_alt 'P 3 m 1'
_space_group_IT_number 156
_space_group_name_Hall 'P 3 -2"'
loop_
_atom_site_label
_atom_site_type_symbol
_atom_site_fract_x
_atom_site_fract_y
_atom_site_fract_z
Sm1 Sm 0.0000 0.0000 0.0000
Gd1 Gd 0.3333 0.6667 0.5693
C1 C 0.6667 0.3333 0.7836
F1 F 0.0000 0.0000 0.4040
F2 F 0.3333 0.6667 0.1794

=====

2.
# TbGdCF2 PBE optimized geometry
# Final energy: -6.85 eV/atom
data_TbGdCF2
_cell_length_a 3.6746
_cell_length_b 3.6746
_cell_length_c 6.3673
_cell_angle_alpha 90.00
_cell_angle_beta 90.00
_cell_angle_gamma 120.00
_space_group_name_H-M_alt 'P 3 m 1'
_space_group_IT_number 156
_space_group_name_Hall 'P 3 -2"'
loop_
_atom_site_label
_atom_site_type_symbol
_atom_site_fract_x
_atom_site_fract_y
_atom_site_fract_z
Tb1 Tb 0.0000 0.0000 0.0000
Gd1 Gd 0.6667 0.3333 0.4301
C1 C 0.3333 0.6667 0.2147
F1 F 0.0000 0.0000 0.6038
F2 F 0.6667 0.3333 0.8268